1.
Compound: AlNiP2
Source: Alexandria
Functional: GGA-PBE
Structure: relaxed

Output
Formation enthalpy at 0 K   0.14 eV/f.u.
Electronic total energy   -20.21 eV for the cell shown
SG   R3m (160)
Density   3.957 g cm⁻³

a = 9.0866 Å, b = 9.0866 Å, c = 9.0866 Å
α = 17.91°, β = 17.91°, γ = 17.91°
Fractional coordinates of all 4 atoms:
1 Ni 0.2489 0.2489 0.2489
2 Al 0.5084 0.5084 0.5084
3 P 0.9741 0.9741 0.9741
4 P 0.7685 0.7685 0.7685

***

2.
Compound: La4TlAsSe2
Source: Alexandria
Functional: GGA-PBE
Structure: relaxed

Output
Electronic total energy   -45.31 eV for the cell shown
SG   P2/m (10)
Density   6.753 g cm⁻³
Energy relative to the elements, uncorrected   -1.45 eV/atom

a = 4.3578 Å, b = 7.6640 Å, c = 7.7304 Å
α = 71.02°, β = 90.00°, γ = 90.00°
Fractional coordinates of all 8 atoms:
1 La 0.0000 0.7587 0.7370
2 La 0.0000 0.2413 0.2630
3 La 0.5000 0.7478 0.2598
4 La 0.5000 0.2522 0.7402
5 Tl 0.5000 0.5000 0.0000
6 As 0.0000 0.5000 0.5000
7 Se 0.0000 0.0000 0.0000
8 Se 0.5000 0.0000 0.5000

***

3.
Compound: Sr4ZnIn2
Source: Alexandria
Functional: GGA-PBE
Structure: relaxed

Output
Formation enthalpy at 0 K   -1.90 eV/f.u.
Electronic total energy   -15.38 eV for the cell shown
SG   R-3m (166)
Density   4.080 g cm⁻³

a = 5.6906 Å, b = 5.6906 Å, c = 9.9275 Å
α = 73.35°, β = 73.35°, γ = 60.00°
Fractional coordinates of all 7 atoms:
1 Sr 0.8765 0.8765 0.3706
2 Sr 0.1235 0.1235 0.6294
3 Sr 0.6265 0.6265 0.1204
4 Sr 0.3735 0.3735 0.8796
5 Zn 0.0000 0.0000 0.0000
6 In 0.7491 0.7491 0.7526
7 In 0.2509 0.2509 0.2474

***

4.
Compound: Li2DySn4
Source: Alexandria
Functional: GGA-PBE
Structure: relaxed

Output
Formation enthalpy at 0 K   -2.22 eV/f.u.
Electronic total energy   -26.67 eV for the cell shown
SG   I4/mmm (139)
Density   6.073 g cm⁻³

a = 6.1388 Å, b = 6.1382 Å, c = 6.1388 Å
α = 109.11°, β = 109.66°, γ = 109.65°
Fractional coordinates of all 7 atoms:
1 Li 0.5000 0.5000 0.0000
2 Li 0.5000 0.0000 0.5000
3 Dy 0.0000 0.0000 0.0000
4 Sn 0.5000 0.0000 0.0000
5 Sn 0.5000 0.5000 0.5000
6 Sn 0.0000 0.0000 0.5000
7 Sn 0.0000 0.5000 0.0000

***

5.
Compound: SiHgMo2
Source: Alexandria
Functional: GGA-PBE
Structure: relaxed

Output
Electronic total energy   -25.92 eV for the cell shown
Excess energy over the best structure of this formula in the dataset   194 meV per atom
SG   Imm2 (44)
Density   10.767 g cm⁻³
Energy relative to the elements, uncorrected   0.37 eV/atom

a = 5.2285 Å, b = 5.2285 Å, c = 5.2285 Å
α = 143.72°, β = 129.07°, γ = 64.12°
Fractional coordinates of all 4 atoms:
1 Hg 0.7375 0.2375 0.5000
2 Mo 0.0132 0.0132 0.0000
3 Mo 0.2634 0.7634 0.5000
4 Si 0.4858 0.4858 0.0000

***

6.
Compound: AcCeSnHg
Source: Alexandria
Functional: GGA-PBE
Structure: relaxed

Output
Formation enthalpy at 0 K   -1.92 eV/f.u.
Electronic total energy   -16.27 eV for the cell shown
Excess energy over the best structure of this formula in the dataset   0 meV per atom
SG   P4mm (99)
Density   9.187 g cm⁻³

a = 4.1132 Å, b = 4.1132 Å, c = 7.3335 Å
α = 90.00°, β = 90.00°, γ = 90.00°
Last column: magnetic moment on the atom in μB.
Fractional coordinates of all 4 atoms:
1 Ac 0.0000 0.0000 0.8636  0.09
2 Ce 0.0000 0.0000 0.3464  0.88
3 Sn 0.5000 0.5000 0.1322  -0.02
4 Hg 0.5000 0.5000 0.5858  0.01

***

7.
Compound: AlTe2Pb
Source: Alexandria
Functional: GGA-PBE
Structure: relaxed

Output
Electronic total energy   -12.79 eV for the cell shown
SG   F-43m (216)
Density   7.225 g cm⁻³
Energy relative to the elements, uncorrected   0.24 eV/atom

a = 5.4183 Å, b = 5.4183 Å, c = 5.4183 Å
α = 60.00°, β = 60.00°, γ = 60.00°
Fractional coordinates of all 4 atoms:
1 Pb 0.2500 0.2500 0.2500
2 Te 0.0000 0.0000 0.0000
3 Te 0.7500 0.7500 0.7500
4 Al 0.5000 0.5000 0.5000

***

8.
Compound: LiFe2Mo
Source: Alexandria
Functional: GGA-PBE
Structure: relaxed

Output
Formation enthalpy at 0 K   0.95 eV/f.u.
Electronic total energy   -28.73 eV for the cell shown
Excess energy over the best structure of this formula in the dataset   23 meV per atom
SG   Fm-3m (225)
Density   7.499 g cm⁻³

a = 4.0655 Å, b = 4.0655 Å, c = 4.0655 Å
α = 60.00°, β = 60.00°, γ = 60.00°
Last column: magnetic moment on the atom in μB.
Fractional coordinates of all 4 atoms:
1 Mo 0.5000 0.5000 0.5000  -0.17
2 Fe 0.2500 0.2500 0.2500  0.41
3 Fe 0.7500 0.7500 0.7500  0.41
4 Li 0.0000 0.0000 0.0000  -0.01

***

9.
Compound: Li4Pm3Pd4
Source: Alexandria
Functional: GGA-PBE
Structure: relaxed

Output
Formation enthalpy at 0 K   -5.84 eV/f.u.
Electronic total energy   -48.52 eV for the cell shown
Excess energy over the best structure of this formula in the dataset   0 meV per atom
SG   Immm (71)
Density   6.695 g cm⁻³

a = 4.0765 Å, b = 7.5328 Å, c = 8.3565 Å
α = 116.79°, β = 104.12°, γ = 90.00°
Fractional coordinates of all 11 atoms:
1 Li 0.3244 0.1341 0.6487
2 Li 0.6756 0.4854 0.3513
3 Li 0.6756 0.8659 0.3513
4 Li 0.3244 0.5146 0.6487
5 Pm 0.1242 0.1242 0.2484
6 Pm 0.8758 0.8758 0.7516
7 Pm 0.0000 0.5000 0.0000
8 Pd 0.2207 0.7207 0.4413
9 Pd 0.7793 0.2793 0.5587
10 Pd 0.5000 0.8067 0.0000
11 Pd 0.5000 0.1933 0.0000

***

10.
Compound: BaNdPd2
Source: Alexandria
Functional: GGA-PBE
Structure: relaxed

Output
Formation enthalpy at 0 K   -2.16 eV/f.u.
Electronic total energy   -19.24 eV for the cell shown
Excess energy over the best structure of this formula in the dataset   105 meV per atom
SG   R-3m (166)
Density   6.789 g cm⁻³

a = 4.3844 Å, b = 4.3844 Å, c = 7.6926 Å
α = 73.44°, β = 73.44°, γ = 60.00°
Fractional coordinates of all 4 atoms:
1 Nd 0.5000 0.5000 0.5000
2 Ba 0.0000 0.0000 0.0000
3 Pd 0.7625 0.7625 0.7124
4 Pd 0.2375 0.2375 0.2876

***

11.
Compound: TmSc2SbC
Source: Alexandria
Functional: GGA-PBE
Structure: relaxed

Output
Electronic total energy   -34.10 eV for the cell shown
SG   P4/mmm (123)
Density   6.610 g cm⁻³
Energy relative to the elements, uncorrected   -0.72 eV/atom

a = 4.7720 Å, b = 4.5465 Å, c = 4.5465 Å
α = 90.00°, β = 90.00°, γ = 90.00°
Fractional coordinates of all 5 atoms:
1 Tm 0.5000 0.0000 0.0000
2 Sc 0.0000 0.0000 0.5000
3 Sc 0.0000 0.5000 0.0000
4 Sb 0.5000 0.5000 0.5000
5 C 0.0000 0.0000 0.0000

***

12.
Compound: SrFeCl3
Source: Alexandria
Functional: GGA-PBE
Structure: relaxed

Output
Electronic total energy   -19.56 eV for the cell shown
Excess energy over the best structure of this formula in the dataset   395 meV per atom
SG   Pm-3m (221)
Density   2.342 g cm⁻³
Energy relative to the elements, uncorrected   -0.77 eV/atom

a = 5.6157 Å, b = 5.6157 Å, c = 5.6157 Å
α = 90.00°, β = 90.00°, γ = 90.00°
Last column: magnetic moment on the atom in μB.
Fractional coordinates of all 5 atoms:
1 Sr 0.0000 0.0000 0.0000  0.00
2 Fe 0.5000 0.5000 0.5000  3.49
3 Cl 0.0000 0.5000 0.0000  0.01
4 Cl 0.0000 0.0000 0.5000  0.01
5 Cl 0.5000 0.0000 0.0000  0.01